## ScCoP2S (PBE)

Data for a relaxed ScCoP2S crystal.

a b c (Å): 4.9103 4.7994 4.9103
angles (deg): 90.00 90.00 90.00
Each line ends with the local moment (μB).
Positions (direct):
Sc  0.0000  0.0000  0.0000  0.00
P  0.0000  0.0000  0.5000  -0.05
P  0.5000  0.0000  0.0000  -0.02
S  0.0000  0.5000  0.0000  0.00
Co  0.5000  0.5000  0.5000  2.23

Computed properties:
uncorrected formation energy: 0.739 eV/atom
symmetry: P4/mmm
size of the total moment: 2.2 μB/f.u.

## Mg4TlIr (PBE)

Data for a relaxed Mg4TlIr crystal.

a b c (Å): 5.4996 5.4996 5.4996
angles (deg): 60.00 60.00 60.00
Positions (direct):
Mg  0.8773  0.3742  0.3742
Mg  0.3742  0.3742  0.8773
Mg  0.3742  0.8773  0.3742
Mg  0.3742  0.3742  0.3742
Tl  0.7500  0.7500  0.7500
Ir  0.0000  0.0000  0.0000

Computed properties:
symmetry: F-43m
size of the total moment: 0.0 μB/f.u.
formation energy from the elements: 0.231 eV per atom

## Pm2Sm6Y3Th (PBE)

Data for a relaxed Pm2Sm6Y3Th crystal.

a b c (Å): 6.2637 6.2637 11.9881
angles (deg): 94.99 94.99 119.95
Positions (direct):
Pm  0.3334  0.6666  0.0000
Pm  0.6666  0.3334  0.0000
Sm  0.9163  0.5869  0.7500
Sm  0.7543  0.7543  0.2500
Sm  0.0837  0.4131  0.2500
Sm  0.5869  0.9163  0.7500
Sm  0.2457  0.2457  0.7500
Sm  0.4131  0.0837  0.2500
Y  0.1669  0.8331  0.5000
Y  0.8331  0.1669  0.5000
Y  0.5000  0.5000  0.5000
Th  0.0000  0.0000  0.0000

Computed properties:
symmetry: C2/m
size of the total moment: 0.0 μB/f.u.
formation energy from the elements: 0.030 eV per atom

## CaPd2PtBr (PBE)

Data for a relaxed CaPd2PtBr crystal.

a b c (Å): 5.0443 5.0655 5.0443
angles (deg): 90.00 90.00 90.00
Positions (direct):
Ca  0.0000  0.0000  0.0000
Br  0.5000  0.5000  0.5000
Pd  0.0000  0.0000  0.5000
Pd  0.5000  0.0000  0.0000
Pt  0.0000  0.5000  0.0000

Computed properties:
uncorrected formation energy: 0.852 eV/atom
symmetry: P4/mmm
size of the total moment: 0.0 μB/f.u.

## Be8NbCo3 (PBE)

Data for a relaxed Be8NbCo3 crystal.

a b c (Å): 4.2572 4.2572 6.9856
angles (deg): 90.00 90.00 120.00
Each line ends with the local moment (μB).
Positions (direct):
Be  0.3333  0.6667  0.4927  0.00
Be  0.3333  0.6667  0.0036  -0.02
Be  0.5034  0.0067  0.7686  -0.01
Be  0.5034  0.4966  0.7686  -0.01
Be  0.9933  0.4966  0.7686  -0.01
Be  0.1636  0.3272  0.2336  0.00
Be  0.1636  0.8364  0.2336  0.00
Be  0.6728  0.8364  0.2336  0.00
Nb  0.0000  0.0000  0.5595  0.00
Co  0.6667  0.3333  0.4481  0.03
Co  0.6667  0.3333  0.0617  0.73
Co  0.0000  0.0000  0.9277  0.48

Computed properties:
symmetry: P3m1
size of the total moment: 1.2 μB/f.u.
formation energy from the elements: -0.244 eV per atom

## Ac5Bi4Se (PBE)

Data for a relaxed Ac5Bi4Se crystal.

a b c (Å): 4.8071 6.8112 12.6918
angles (deg): 105.59 100.92 90.00
Positions (direct):
Ac  0.5952  0.0954  0.1899
Ac  0.7985  0.2983  0.5969
Ac  0.2015  0.7017  0.4031
Ac  0.0000  0.5000  0.0000
Ac  0.4048  0.9046  0.8101
Bi  0.4007  0.4001  0.8011
Bi  0.8038  0.8038  0.6081
Bi  0.1962  0.1962  0.3919
Bi  0.5993  0.5999  0.1989
Se  0.0000  0.0000  0.0000

Computed properties:
uncorrected formation energy: -1.170 eV/atom
symmetry: Immm
size of the total moment: 0.0 μB/f.u.

## DyLuCuIr (PBE)

Data for a relaxed DyLuCuIr crystal.

a b c (Å): 4.8208 4.8208 4.8208
angles (deg): 60.00 60.00 60.00
Positions (direct):
Ir  0.7500  0.7500  0.7500
Lu  0.5000  0.5000  0.5000
Cu  0.2500  0.2500  0.2500
Dy  0.0000  0.0000  0.0000

Computed properties:
symmetry: F-43m
size of the total moment: 0.0 μB/f.u.
formation energy from the elements: -0.637 eV per atom

## Pr2Al2Fe15 (PBE)

Data for a relaxed Pr2Al2Fe15 crystal.

a b c (Å): 6.4666 6.4666 6.4666
angles (deg): 82.15 82.15 82.15
Each line ends with the local moment (μB).
Positions (direct):
Pr  0.6528  0.6528  0.6528  -0.27
Pr  0.3472  0.3472  0.3472  -0.27
Al  0.8986  0.8986  0.8986  -0.08
Al  0.1014  0.1014  0.1014  -0.08
Fe  0.0000  0.0000  0.5000  1.78
Fe  0.5000  0.0000  0.0000  1.78
Fe  0.0000  0.5000  0.0000  1.78
Fe  0.7127  0.2873  0.0000  2.20
Fe  0.0000  0.7127  0.2873  2.20
Fe  0.2873  0.0000  0.7127  2.20
Fe  0.0000  0.2873  0.7127  2.20
Fe  0.7127  0.0000  0.2873  2.20
Fe  0.2873  0.7127  0.0000  2.20
Fe  0.3399  0.3399  0.8434  2.07
Fe  0.8434  0.3399  0.3399  2.07
Fe  0.3399  0.8434  0.3399  2.07
Fe  0.6601  0.6601  0.1566  2.07
Fe  0.1566  0.6601  0.6601  2.07
Fe  0.6601  0.1566  0.6601  2.07

Computed properties:
symmetry: R-3m
size of the total moment: 29.3 μB/f.u.
formation energy from the elements: -0.025 eV per atom

Results for calculated density: 2.8 7.0 7.0 6.8 5.2 8.7 12.4 7.4 (in g/cm³, following the order of the records).